[1]
Computed, not measured: an optimized crystal structure of TaTe3N at the PBE level of DFT.

## Properties
symmetry = Pm-3m, No. 221
E_tot = -4.958 eV/atom
total magnetization = 1.56 μB/f.u.
density = 9.297 g/cm³
N(E_F) = 0.64 states/eV per atom
energy relative to the elements, uncorrected = 0.96 eV per atom
polymorph energy (0 for the lowest one) = 0 meV/atom

Cell: 4.690 4.690 4.690 Å, 90.00 90.00 90.00°
Fractional coordinates of all 5 atoms:
1 Ta 0.000 0.000 0.000
2 Te 0.000 0.500 0.500
3 Te 0.500 0.000 0.500
4 Te 0.500 0.500 0.000
5 N 0.500 0.500 0.500

---

[2]
Computed, not measured: an optimized crystal structure of TaTe3N at the PBE level of DFT.

## Properties
symmetry = Pm-3m, No. 221
E_tot = -4.804 eV/atom
total magnetization = 2.94 μB/f.u.
density = 6.033 g/cm³
N(E_F) = 0.53 states/eV per atom
energy relative to the elements, uncorrected = 1.12 eV per atom
polymorph energy (0 for the lowest one) = 154 meV/atom

Cell: 5.418 5.418 5.418 Å, 90.00 90.00 90.00°
Fractional coordinates of all 5 atoms:
1 Ta 0.000 0.000 0.000
2 Te 0.000 0.000 0.500
3 Te 0.000 0.500 0.000
4 Te 0.500 0.000 0.000
5 N 0.500 0.500 0.500

---

[3]
Computed, not measured: an optimized crystal structure of TaTeN3 at the PBE level of DFT.

## Properties
symmetry = Pm-3m, No. 221
E_tot = -6.412 eV/atom
total magnetization = 1.39 μB/f.u.
density = 9.541 g/cm³
N(E_F) = 0.49 states/eV per atom
energy relative to the elements, uncorrected = 1.58 eV per atom

Cell: 3.937 3.937 3.937 Å, 90.00 90.00 90.00°
Fractional coordinates of all 5 atoms:
1 Ta 0.000 0.000 0.000
2 Te 0.500 0.500 0.500
3 N 0.000 0.500 0.500
4 N 0.500 0.000 0.500
5 N 0.500 0.500 0.000